[1]
The following is a PBE calculation of a geometry-optimized PdPt2AuN structure, from the Alexandria database.

## Properties
The value obtained for the magnetic moment is 0.00 Bohr magnetons per cell. As for the calculated volume: 23.26 A^3/atom. The value obtained for the uncorrected formation energy is 2.52 eV/atom. The space-group type is P4/mmm, No. 123.

POSCAR file:
```
PdPt2AuN
1.0
4.836 0.000 0.000
0.000 4.973 0.000
0.000 0.000 4.836
Au Pd Pt N
1 1 2 1
direct
0.000 0.500 0.000 Au
0.000 0.000 0.000 Pd
0.000 0.000 0.500 Pt
0.500 0.000 0.000 Pt
0.500 0.500 0.500 N
```

---

[2]
The following is a PBE calculation of a geometry-optimized Rb2PdAuN structure, from the Alexandria database.

## Properties
The value obtained for the magnetic moment is 0.41 Bohr magnetons per cell. As for the calculated volume: 29.44 A^3/atom. The value obtained for the uncorrected formation energy is 0.04 eV/atom. The space-group type is P4/mmm, No. 123.

POSCAR file:
```
Rb2PdAuN
1.0
6.251 0.000 0.000
0.000 6.251 0.000
0.000 0.000 3.768
Au Rb Pd N
1 2 1 1
direct
0.500 0.500 0.500 Au
0.000 0.500 0.000 Rb
0.500 0.000 0.000 Rb
0.000 0.000 0.500 Pd
0.000 0.000 0.000 N
```

---

[3]
The following is a PBE calculation of a geometry-optimized PdRhAuN2 structure, from the Alexandria database.

## Properties
The value obtained for the magnetic moment is 0.40 Bohr magnetons per cell. As for the calculated volume: 15.53 A^3/atom. The value obtained for the uncorrected formation energy is 1.18 eV/atom. The space-group type is P4/mmm, No. 123.

POSCAR file:
```
PdRhAuN2
1.0
-2.069 2.139 2.333
-3.642 0.784 -3.950
-1.893 -3.070 1.136
Rh Au Pd N
1 1 1 2
direct
0.000 0.000 0.000 Rh
0.500 0.500 0.500 Au
0.000 0.500 0.000 Pd
0.000 0.000 0.500 N
0.500 0.000 0.000 N
```

---

[4]
The following is a PBE calculation of a geometry-optimized PdAuSN2 structure, from the Alexandria database.

## Properties
The value obtained for the magnetic moment is 3.72 Bohr magnetons per cell. Its polymorph energy (0 for the lowest one) is 298 meV per atom. As for the calculated volume: 17.91 A^3/atom. The value obtained for the uncorrected formation energy is 1.82 eV/atom. The space-group type is P4/mmm, No. 123.

POSCAR file:
```
PdAuSN2
1.0
-3.235 -0.120 -2.170
-0.567 -3.711 1.049
-3.173 1.794 4.630
S Au Pd N
1 1 1 2
direct
0.000 0.000 0.500 S
0.000 0.000 0.000 Au
0.500 0.500 0.500 Pd
0.000 0.500 0.000 N
0.500 0.000 0.000 N
```

---

[5]
The following is a PBE calculation of a geometry-optimized PdAuS2N structure, from the Alexandria database.

## Properties
The value obtained for the magnetic moment is 0.67 Bohr magnetons per cell. Its polymorph energy (0 for the lowest one) is 0 meV per atom. As for the calculated volume: 17.86 A^3/atom. The value obtained for the uncorrected formation energy is 1.06 eV/atom. The space-group type is P4/mmm, No. 123.

POSCAR file:
```
PdAuS2N
1.0
-3.563 -2.412 -2.404
2.876 -3.995 -0.254
-1.361 -1.183 3.203
S Au Pd N
2 1 1 1
direct
0.000 0.500 0.000 S
0.500 0.000 0.000 S
0.500 0.500 0.500 Au
0.000 0.000 0.000 Pd
0.000 0.000 0.500 N
```

---

[6]
The following is a PBE calculation of a geometry-optimized PdAuS2N structure, from the Alexandria database.

## Properties
The value obtained for the magnetic moment is 0.00 Bohr magnetons per cell. Its polymorph energy (0 for the lowest one) is 305 meV per atom. As for the calculated volume: 18.79 A^3/atom. The value obtained for the uncorrected formation energy is 1.37 eV/atom. The space-group type is P4/mmm, No. 123.

POSCAR file:
```
PdAuS2N
1.0
5.027 0.000 0.000
0.000 5.027 0.000
0.000 0.000 3.719
S Au Pd N
2 1 1 1
direct
0.000 0.500 0.000 S
0.500 0.000 0.000 S
0.000 0.000 0.000 Au
0.500 0.500 0.500 Pd
0.000 0.000 0.500 N
```